VSBrO2 | PBE with a Hubbard U | optimized geometry

As for the total energy: -5.282 eV per atom.

The space group is P4/mmm (No. 123) and the conventional cell measures 3.721, 3.721 and 5.296 Å, with angles of 90.00, 90.00 and 90.00 degrees. The asymmetric unit holds V at (0.000, 0.000, 0.000), S at (0.000, 0.000, 0.500), Br at (0.500, 0.500, 0.500) and O at (0.000, 0.500, 0.000).